First-principles (meta-GGA SCAN) data for a PBEsol-optimized structure of Al2NiIr, as listed in Alexandria via LeMat-Bulk.

abc: 4.1954 4.1954 2.8930
angles: 90.00 90.00 90.00
Fractional coordinates of all 4 atoms:
1 Al 0.0000 0.5000 0.0000
2 Al 0.5000 0.0000 0.0000
3 Ni 0.0000 0.0000 0.5000
4 Ir 0.5000 0.5000 0.5000

DFT total energy in eV/atom: -26.667
Magnetic moment in μB/atom: 0.000
E_form in meV/atom: -973

=====

First-principles (meta-GGA SCAN) data for a PBEsol-optimized structure of As2PbWSe, as listed in Alexandria via LeMat-Bulk.

abc: 4.9073 4.9073 4.9125
angles: 90.00 90.00 90.00
Fractional coordinates of all 5 atoms:
1 As 0.0000 0.5000 0.0000
2 As 0.5000 0.0000 0.0000
3 Pb 0.0000 0.0000 0.5000
4 W 0.5000 0.5000 0.0000
5 Se 0.5000 0.5000 0.5000

DFT total energy in eV/atom: -40.750
Energy relative to the elements, uncorrected in eV/atom: 0.4358
Magnetic moment in μB/atom: 0.000